Entry from Alexandria: a relaxed LiCrPd2O crystal (PBE with a Hubbard U).

As for the crystal system: tetragonal. The value obtained for the total energy is -4.36 eV/atom. The value obtained for the total magnetic moment is 0.74 Bohr magnetons per cell. For the density of states at the Fermi level, the calculation gives 4.93 states/eV/f.u.

Lattice parameters (Å, degrees): 4.5984 3.3003 4.5984 90.00 90.00 90.00
Atoms (fractional coordinates):
1 Pd 0.0000 0.0000 0.5000
2 Pd 0.5000 0.0000 0.0000
3 Li 0.0000 0.0000 0.0000
4 O 0.0000 0.5000 0.0000
5 Cr 0.5000 0.5000 0.5000